*w*
! Ti4AlIr | Alexandria via LeMat-Bulk | PBE | relaxed; values from VASP
! * space-group type: C2/m (12)
! * V: 96.1 Å³ per cell
&SYSTEM
  ibrav = 0, nat = 6, ntyp = 3
/
ATOMIC_SPECIES
Ti 47.87 Ti.upf
Al 26.98 Al.upf
Ir 192.22 Ir.upf
CELL_PARAMETERS angstrom
-2.605 -1.574 -0.623
-0.011 -0.930 -5.352
0.743 -5.813 3.831
ATOMIC_POSITIONS crystal
Ti 0.839 0.495 0.827
Ti 0.323 0.015 0.339
Ti 0.161 0.505 0.173
Ti 0.677 0.985 0.661
Al 0.000 0.000 0.000
Ir 0.500 0.500 0.500

*x*
! Ti4AlIr | Alexandria via LeMat-Bulk | PBE | relaxed; values from VASP
! * space-group type: P4/mmm (123)
! * V: 114.5 Å³ per cell
&SYSTEM
  ibrav = 0, nat = 6, ntyp = 3
/
ATOMIC_SPECIES
Ti 47.87 Ti.upf
Al 26.98 Al.upf
Ir 192.22 Ir.upf
CELL_PARAMETERS angstrom
-2.319 -2.837 -2.189
3.310 -0.696 -2.605
2.025 -4.585 3.795
ATOMIC_POSITIONS crystal
Ti 0.501 0.997 0.261
Ti 0.501 0.997 0.735
Ti 0.001 0.497 0.735
Ti 0.001 0.497 0.261
Al 0.501 0.497 0.998
Ir 0.001 0.997 0.498

It comes down to *w*, which is 391 meV/atom more stable than the next structure.